Here is a relaxed Cs2AlO crystal from Alexandria via LeMat-Bulk. Energies are from PBE.

```
data_Cs2AlO
_symmetry_space_group_name_H-M 'I -4 2 d'
_symmetry_Int_Tables_number 122
_symmetry_space_group_name_Hall 'I -4 2bw'
_cell_length_a 13.555
_cell_length_b 13.555
_cell_length_c 3.729
_cell_angle_alpha 90.00
_cell_angle_beta 90.00
_cell_angle_gamma 90.00
loop_
_atom_site_label
_atom_site_type_symbol
_atom_site_fract_x
_atom_site_fract_y
_atom_site_fract_z
Cs1 Cs 0.035 0.750 0.125
Al1 Al 0.000 0.000 0.500
O1 O 0.000 0.000 0.000
```

## Properties
E_form (uncorrected), meV/atom: -648.1


Here is a relaxed Bi3SbAu crystal from Alexandria via LeMat-Bulk. Energies are from PBE.

```
data_Bi3SbAu
_symmetry_space_group_name_H-M 'P m -3 m'
_symmetry_Int_Tables_number 221
_symmetry_space_group_name_Hall '-P 4 2 3'
_cell_length_a 5.554
_cell_length_b 5.554
_cell_length_c 5.554
_cell_angle_alpha 90.00
_cell_angle_beta 90.00
_cell_angle_gamma 90.00
loop_
_atom_site_label
_atom_site_type_symbol
_atom_site_fract_x
_atom_site_fract_y
_atom_site_fract_z
Bi1 Bi 0.000 0.000 0.500
Sb1 Sb 0.500 0.500 0.500
Au1 Au 0.000 0.000 0.000
```

## Properties
E_form (uncorrected), meV/atom: 529.3


Here is a relaxed Ca3GaHg7 crystal from Alexandria via LeMat-Bulk. Energies are from PBE.

```
data_Ca3GaHg7
_symmetry_space_group_name_H-M 'C m c m'
_symmetry_Int_Tables_number 63
_symmetry_space_group_name_Hall '-C 2c 2'
_cell_length_a 3.815
_cell_length_b 22.057
_cell_length_c 14.147
_cell_angle_alpha 90.00
_cell_angle_beta 90.00
_cell_angle_gamma 90.00
loop_
_atom_site_label
_atom_site_type_symbol
_atom_site_fract_x
_atom_site_fract_y
_atom_site_fract_z
Ca1 Ca 0.000 0.091 0.039
Ca2 Ca 0.000 0.250 0.750
Ga1 Ga 0.000 0.064 0.750
Hg1 Hg 0.000 0.294 0.549
Hg2 Hg 0.000 0.347 0.143
Hg3 Hg 0.000 0.397 0.750
Hg4 Hg 0.000 0.487 0.118
```

## Properties
E_form, eV per atom: -0.30


Here is a relaxed NbBiSe3 crystal from Alexandria via LeMat-Bulk. Energies are from PBE.

```
data_NbBiSe3
_symmetry_space_group_name_H-M 'P m -3 m'
_symmetry_Int_Tables_number 221
_symmetry_space_group_name_Hall '-P 4 2 3'
_cell_length_a 5.068
_cell_length_b 5.068
_cell_length_c 5.068
_cell_angle_alpha 90.00
_cell_angle_beta 90.00
_cell_angle_gamma 90.00
loop_
_atom_site_label
_atom_site_type_symbol
_atom_site_fract_x
_atom_site_fract_y
_atom_site_fract_z
Nb1 Nb 0.000 0.000 0.000
Bi1 Bi 0.500 0.500 0.500
Se1 Se 0.000 0.000 0.500
```

## Properties
E_form (uncorrected), meV/atom: -86.1


Here is a relaxed Zn6CuPt crystal from Alexandria via LeMat-Bulk. Energies are from PBE.

```
data_Zn6CuPt
_symmetry_space_group_name_H-M 'R -3 m'
_symmetry_Int_Tables_number 166
_symmetry_space_group_name_Hall '-R 3 2"'
_cell_length_a 7.0027
_cell_length_b 7.0027
_cell_length_c 9.3538
_cell_angle_alpha 90.00
_cell_angle_beta 90.00
_cell_angle_gamma 120.00
loop_
_atom_site_label
_atom_site_type_symbol
_atom_site_fract_x
_atom_site_fract_y
_atom_site_fract_z
Zn1 Zn 0.0875 0.5437 0.3798
Cu1 Cu 0.0000 0.0000 0.5000
Pt1 Pt 0.0000 0.0000 0.0000
```

## Properties
E_form, eV per atom: -0.02


Here is a relaxed LaTaRe2 crystal from Alexandria via LeMat-Bulk. Energies are from PBE.

```
data_LaTaRe2
_symmetry_space_group_name_H-M 'C m m m'
_symmetry_Int_Tables_number 65
_symmetry_space_group_name_Hall '-C 2 2'
_cell_length_a 3.229
_cell_length_b 4.811
_cell_length_c 9.553
_cell_angle_alpha 90.00
_cell_angle_beta 90.00
_cell_angle_gamma 90.00
loop_
_atom_site_label
_atom_site_type_symbol
_atom_site_fract_x
_atom_site_fract_y
_atom_site_fract_z
La1 La 0.000 0.000 0.000
Ta1 Ta 0.000 0.000 0.500
Re1 Re 0.000 0.500 0.277
```

## Properties
E_form, eV per atom: 0.27


Here is a relaxed HfSc2Cd2 crystal from Alexandria via LeMat-Bulk. Energies are from PBE.

```
data_HfSc2Cd2
_symmetry_space_group_name_H-M 'P 4/m b m'
_symmetry_Int_Tables_number 127
_symmetry_space_group_name_Hall '-P 4 2ab'
_cell_length_a 8.148
_cell_length_b 8.148
_cell_length_c 3.406
_cell_angle_alpha 90.00
_cell_angle_beta 90.00
_cell_angle_gamma 90.00
loop_
_atom_site_label
_atom_site_type_symbol
_atom_site_fract_x
_atom_site_fract_y
_atom_site_fract_z
Hf1 Hf 0.000 0.000 0.000
Sc1 Sc 0.174 0.326 0.500
Cd1 Cd 0.127 0.627 0.000
```

## Properties
E_form, eV per atom: -0.02


Here is a relaxed CaB14Ru crystal from Alexandria via LeMat-Bulk. Energies are from PBE.

```
data_CaB14Ru
_symmetry_space_group_name_H-M 'I m m a'
_symmetry_Int_Tables_number 74
_symmetry_space_group_name_Hall '-I 2b 2'
_cell_length_a 5.885
_cell_length_b 10.694
_cell_length_c 8.310
_cell_angle_alpha 90.00
_cell_angle_beta 90.00
_cell_angle_gamma 90.00
loop_
_atom_site_label
_atom_site_type_symbol
_atom_site_fract_x
_atom_site_fract_y
_atom_site_fract_z
Ca1 Ca 0.000 0.250 0.135
B1 B 0.000 0.086 0.666
B2 B 0.000 0.125 0.871
B3 B 0.000 0.166 0.462
B4 B 0.161 0.060 0.338
B5 B 0.246 0.079 0.547
Ru1 Ru 0.250 0.250 0.750
```

## Properties
E_form, eV per atom: -0.09


Repeat the first record exactly.
Here is a relaxed Cs2AlO crystal from Alexandria via LeMat-Bulk. Energies are from PBE.

```
data_Cs2AlO
_symmetry_space_group_name_H-M 'I -4 2 d'
_symmetry_Int_Tables_number 122
_symmetry_space_group_name_Hall 'I -4 2bw'
_cell_length_a 13.555
_cell_length_b 13.555
_cell_length_c 3.729
_cell_angle_alpha 90.00
_cell_angle_beta 90.00
_cell_angle_gamma 90.00
loop_
_atom_site_label
_atom_site_type_symbol
_atom_site_fract_x
_atom_site_fract_y
_atom_site_fract_z
Cs1 Cs 0.035 0.750 0.125
Al1 Al 0.000 0.000 0.500
O1 O 0.000 0.000 0.000
```

## Properties
E_form (uncorrected), meV/atom: -648.1


What did the fourth record say?
Here is a relaxed NbBiSe3 crystal from Alexandria via LeMat-Bulk. Energies are from PBE.

```
data_NbBiSe3
_symmetry_space_group_name_H-M 'P m -3 m'
_symmetry_Int_Tables_number 221
_symmetry_space_group_name_Hall '-P 4 2 3'
_cell_length_a 5.068
_cell_length_b 5.068
_cell_length_c 5.068
_cell_angle_alpha 90.00
_cell_angle_beta 90.00
_cell_angle_gamma 90.00
loop_
_atom_site_label
_atom_site_type_symbol
_atom_site_fract_x
_atom_site_fract_y
_atom_site_fract_z
Nb1 Nb 0.000 0.000 0.000
Bi1 Bi 0.500 0.500 0.500
Se1 Se 0.000 0.000 0.500
```

## Properties
E_form (uncorrected), meV/atom: -86.1